Material: Ac2AlB3Pt12
Method: DFT, GGA-PBE
State: relaxed

The spin magnetization comes out at 0.000 μB/f.u. As for the formation energy: -0.57 eV per atom. Its crystal system is trigonal. The calculation puts the density of states at the Fermi level at 0.4816 states/eV per atom.

The space group is R-3m (No. 166, hexagonal axes) and the conventional cell measures 7.9504, 7.9504 and 18.0749 Å, with angles of 90.00, 90.00 and 120.00 degrees. The distinct sites, in fractional coordinates, are Ac at (0.0000, 0.0000, 0.1100), Al at (0.0000, 0.0000, 0.5000), B at (0.0000, 0.5000, 0.0000), Pt at (0.0103, 0.5051, 0.1173) and Pt at (0.0616, 0.5308, 0.3540).